# AlMo3N, relaxed, DFT PBE
# Total magnetic moment: 0.000 μB/cell
# Energy above the most stable polymorph in this dataset: 0.00 kJ per mole of atoms
# Formation energy without anion corrections: -0.22 eV/atom
data_AlMo3N
_chemical_formula_sum 'Al1 Mo3 N1'
_symmetry_space_group_name_H-M 'P m -3 m'
_symmetry_Int_Tables_number 221
_symmetry_space_group_name_Hall '-P 4 2 3'
_cell_length_a 4.1204
_cell_length_b 4.1204
_cell_length_c 4.1204
_cell_angle_alpha 90.00
_cell_angle_beta 90.00
_cell_angle_gamma 90.00
loop_
_atom_site_label
_atom_site_type_symbol
_atom_site_fract_x
_atom_site_fract_y
_atom_site_fract_z
Al1 Al 0.0000 0.0000 0.0000
Mo1 Mo 0.0000 0.5000 0.5000
N1 N 0.5000 0.5000 0.5000

# Al3MoN, relaxed, DFT PBE
# Total magnetic moment: 0.000 μB/cell
# Energy above the most stable polymorph in this dataset: 0.00 kJ per mole of atoms
# Formation energy without anion corrections: -0.10 eV/atom
data_Al3MoN
_chemical_formula_sum 'Al3 Mo1 N1'
_symmetry_space_group_name_H-M 'P m -3 m'
_symmetry_Int_Tables_number 221
_symmetry_space_group_name_Hall '-P 4 2 3'
_cell_length_a 4.0072
_cell_length_b 4.0072
_cell_length_c 4.0072
_cell_angle_alpha 90.00
_cell_angle_beta 90.00
_cell_angle_gamma 90.00
loop_
_atom_site_label
_atom_site_type_symbol
_atom_site_fract_x
_atom_site_fract_y
_atom_site_fract_z
Al1 Al 0.0000 0.0000 0.5000
Mo1 Mo 0.5000 0.5000 0.5000
N1 N 0.0000 0.0000 0.0000

Values of uncorrected energy, in order: -9.1355; -6.1742, all in eV per atom.